The following is a DFT calculation (PBE) of an optimized crystal structure of Rb2NaH.

Summary:
The calculation puts the energy above the most stable polymorph in this dataset at 48 meV per atom. The density of states at the Fermi level is 1.6 states/eV/cell. For the calculated total energy, the calculation gives -6.4 eV per formula unit.

Cell lengths 3.895, 3.895, 10.490 Å; angles 90.00, 90.00, 90.00 degrees
Space group P4/mmm (No. 123)
Unique sites:
Rb1 0.000 0.000 0.173
Na1 0.500 0.500 0.500
H1 0.500 0.500 0.000


The following is a DFT calculation (PBE) of an optimized crystal structure of RbBa2I.

Summary:
The calculation puts the energy above the most stable polymorph in this dataset at 144 meV per atom. The density of states at the Fermi level is 26.3 states/eV/cell. The calculation puts the formation energy without anion corrections at -1.7 eV/f.u. For the calculated total energy, the calculation gives -8.1 eV per formula unit.

Cell lengths 11.420, 11.420, 8.203 Å; angles 90.00, 90.00, 90.00 degrees
Space group I-42d (No. 122)
Unique sites:
Rb1 0.000 0.000 0.000
Ba1 0.155 0.250 0.625
I1 0.000 0.000 0.500